[1]
VASP calculation (PBE-GGA) on crystalline PrErPu at its relaxed geometry.

Properties
- Energy of formation from the pure elements: 3.0 kcal/mol of atoms
- Theoretical density: 9.7 Mg/m³

Cell: 3.550 3.550 7.884 Å, 103.01 103.01 90.00°
Last column: magnetic moment on the atom in μB.
Element x y z (fractional)
1 Pr 0.335 0.335 0.671  -0.03
2 Pu 0.003 0.003 0.006  5.63
3 Er 0.662 0.662 0.324  0.07

***

[2]
VASP calculation (PBE-GGA) on crystalline PrErPu4 at its relaxed geometry.

Properties
- Energy of formation from the pure elements: 5.6 kcal/mol of atoms
- Theoretical density: 12.6 Mg/m³

Cell: 6.204 6.204 6.204 Å, 60.00 60.00 60.00°
Last column: magnetic moment on the atom in μB.
Element x y z (fractional)
1 Pr 0.250 0.250 0.250  -0.01
2 Er 0.000 0.000 0.000  0.13
3 Pu 0.625 0.625 0.124  5.38
4 Pu 0.625 0.124 0.625  5.38
5 Pu 0.625 0.625 0.625  5.38
6 Pu 0.124 0.625 0.625  5.38

***

[3]
VASP calculation (PBE-GGA) on crystalline PrErPu at its relaxed geometry.

Properties
- Energy of formation from the pure elements: 5.2 kcal/mol of atoms
- Theoretical density: 10.5 Mg/m³

Cell: 3.579 8.695 6.649 Å, 111.78 74.39 78.14°
Element x y z (fractional)
1 Pr 0.206 0.772 0.817
2 Pr 0.794 0.228 0.183
3 Er 0.939 0.384 0.737
4 Er 0.061 0.616 0.263
5 Pu 0.673 0.028 0.625
6 Pu 0.327 0.972 0.375

***

[4]
VASP calculation (PBE-GGA) on crystalline Pr2ErPu at its relaxed geometry.

Properties
- Energy of formation from the pure elements: 2.8 kcal/mol of atoms
- Theoretical density: 8.8 Mg/m³

Cell: 3.583 3.583 10.197 Å, 90.00 90.00 90.00°
Last column: magnetic moment on the atom in μB.
Element x y z (fractional)
1 Pr 0.000 0.000 0.748  0.02
2 Pr 0.000 0.000 0.252  0.02
3 Er 0.500 0.500 0.000  -0.23
4 Pu 0.500 0.500 0.500  5.65

***

[5]
VASP calculation (PBE-GGA) on crystalline Pr4Er3Pu at its relaxed geometry.

Properties
- Energy of formation from the pure elements: 3.7 kcal/mol of atoms
- Theoretical density: 8.2 Mg/m³

Cell: 3.489 11.654 8.918 Å, 130.80 101.28 90.00°
Last column: magnetic moment on the atom in μB.
Element x y z (fractional)
1 Pr 0.631 0.380 0.261  0.02
2 Pr 0.369 0.620 0.739  0.02
3 Pr 0.369 0.119 0.739  0.02
4 Pr 0.631 0.881 0.261  0.02
5 Pu 0.500 0.000 0.000  5.69
6 Er 0.000 0.500 0.000  -0.13
7 Er 0.768 0.768 0.536  0.14
8 Er 0.232 0.232 0.464  0.14

***

[6]
VASP calculation (PBE-GGA) on crystalline Pr6Er8Pu at its relaxed geometry.

Properties
- Energy of formation from the pure elements: 2.7 kcal/mol of atoms
- Theoretical density: 8.2 Mg/m³

Cell: 8.675 8.675 8.675 Å, 63.07 63.07 63.07°
Last column: magnetic moment on the atom in μB.
Element x y z (fractional)
1 Pr 0.897 0.455 0.776  0.02
2 Pr 0.224 0.103 0.545  0.02
3 Pr 0.545 0.224 0.103  0.02
4 Pr 0.455 0.776 0.897  0.02
5 Pr 0.776 0.897 0.455  0.02
6 Pr 0.103 0.545 0.224  0.02
7 Er 0.112 0.712 0.757  0.07
8 Er 0.243 0.888 0.288  0.07
9 Er 0.288 0.243 0.888  0.07
10 Er 0.576 0.576 0.576  -0.09
11 Er 0.424 0.424 0.424  -0.09
12 Er 0.712 0.757 0.112  0.07
13 Er 0.757 0.112 0.712  0.07
14 Er 0.888 0.288 0.243  0.07
15 Pu 0.000 0.000 0.000  5.60

***

[7]
VASP calculation (PBE-GGA) on crystalline Pr3Er12Pu at its relaxed geometry.

Properties
- Energy of formation from the pure elements: 4.5 kcal/mol of atoms
- Theoretical density: 9.0 Mg/m³

Cell: 4.981 4.981 19.934 Å, 90.00 90.00 90.00°
Last column: magnetic moment on the atom in μB.
Element x y z (fractional)
1 Pr 0.000 0.000 0.245  0.01
2 Pr 0.000 0.000 0.500  0.01
3 Pr 0.000 0.000 0.755  0.01
4 Er 0.500 0.500 0.000  0.04
5 Er 0.500 0.500 0.246  0.01
6 Er 0.500 0.500 0.500  0.01
7 Er 0.500 0.500 0.754  0.01
8 Er 0.500 0.000 0.117  0.00
9 Er 0.500 0.000 0.372  0.00
10 Er 0.500 0.000 0.628  0.00
11 Er 0.500 0.000 0.883  0.00
12 Er 0.000 0.500 0.117  0.00
13 Er 0.000 0.500 0.372  0.00
14 Er 0.000 0.500 0.628  0.00
15 Er 0.000 0.500 0.883  0.00
16 Pu 0.000 0.000 0.000  -0.06

***

[8]
VASP calculation (PBE-GGA) on crystalline PrEr2Pu at its relaxed geometry.

Properties
- Energy of formation from the pure elements: 2.3 kcal/mol of atoms
- Theoretical density: 9.6 Mg/m³

Cell: 3.526 3.526 9.994 Å, 90.00 90.00 90.00°
Last column: magnetic moment on the atom in μB.
Element x y z (fractional)
1 Pr 0.500 0.500 0.500  0.00
2 Er 0.000 0.000 0.762  0.21
3 Er 0.000 0.000 0.238  0.21
4 Pu 0.500 0.500 0.000  5.57

***

Number 1: electronic total energy -7.763 eV per atom, size of the total moment 6.148 μB per cell. Number 2: electronic total energy -10.870 eV per atom, size of the total moment 22.849 μB per cell. Number 3: electronic total energy -7.664 eV per atom, size of the total moment 0.035 μB per cell. Number 4: electronic total energy -6.994 eV per atom, size of the total moment 6.026 μB per cell. Number 5: electronic total energy -5.731 eV per atom, size of the total moment 6.432 μB per cell. Number 6: electronic total energy -5.184 eV per atom, size of the total moment 6.509 μB per cell. Number 7: electronic total energy -5.018 eV per atom, size of the total moment 0.069 μB per cell. Number 8: electronic total energy -6.959 eV per atom, size of the total moment 6.496 μB per cell.